No. 1
VASP calculation (GGA-PBE) on Ho2CdBi after structural relaxation.

Cell and atoms, written as POSCAR:
```
Ho2CdBi
1.0
4.283 0.000 0.000
2.141 3.709 0.000
2.141 1.236 7.670
Ho Cd Bi
2 1 1
Direct
0.248 0.248 0.257 Ho
0.752 0.752 0.743 Ho
0.000 0.000 0.000 Cd
0.500 0.500 0.500 Bi
```

## Properties
The formation energy comes out at -142 kJ/mol of formula units. Its mass density is 8.9 Mg/m³. The energy relative to the lowest polymorph listed for this composition comes out at 96 meV/atom. Its space-group type is No. 166.

***

No. 2
VASP calculation (GGA-PBE) on Ho3CdBi after structural relaxation.

Cell and atoms, written as POSCAR:
```
Ho3CdBi
1.0
-1.899 1.881 -3.094
-2.645 -5.765 -1.882
-8.768 1.890 6.531
Bi Ho Cd
2 6 2
Direct
0.000 0.500 0.866 Bi
0.500 0.000 0.134 Bi
0.000 0.751 0.302 Ho
0.000 0.249 0.302 Ho
0.000 0.000 0.917 Ho
0.500 0.749 0.698 Ho
0.500 0.251 0.698 Ho
0.500 0.500 0.083 Ho
0.000 0.000 0.542 Cd
0.500 0.500 0.458 Cd
```

## Properties
The formation energy comes out at -146 kJ/mol of formula units. Its mass density is 9.0 Mg/m³. Its space-group type is No. 59.

***

No. 3
VASP calculation (GGA-PBE) on LaHoCdBi after structural relaxation.

Cell and atoms, written as POSCAR:
```
LaHoCdBi
1.0
-3.024 3.849 2.519
-0.876 -0.303 5.426
2.408 3.614 3.383
Bi Ho La Cd
1 1 1 1
Direct
0.000 0.000 0.000 Bi
0.250 0.250 0.250 Ho
0.750 0.750 0.750 La
0.500 0.500 0.500 Cd
```

## Properties
The formation energy comes out at -181 kJ/mol of formula units. Its mass density is 8.8 Mg/m³. Its space-group type is No. 216.

***

No. 4
VASP calculation (GGA-PBE) on LiHoCdBi after structural relaxation.

Cell and atoms, written as POSCAR:
```
LiHoCdBi
1.0
5.215 0.000 0.000
2.608 4.516 0.000
2.608 1.505 4.258
Li Cd Bi Ho
1 1 1 1
Direct
0.500 0.500 0.500 Li
0.750 0.750 0.750 Cd
0.250 0.250 0.250 Bi
0.000 0.000 0.000 Ho
```

## Properties
The formation energy comes out at -133 kJ/mol of formula units. Its mass density is 8.2 Mg/m³. Its space-group type is No. 216.